[1]
## SiAuBr2 (PBE)

Data for a relaxed structure of SiAuBr2.

Summary:
Its energy above the lowest structure with this stoichiometry is 2 meV per atom. Its energy is -3.2105 eV/atom. Its density of states at the Fermi level is 0.269 states/eV per atom. Its uncorrected formation energy is -0.199 eV per atom.

Geometry as extended XYZ:
```
4
Lattice="7.780 0.271 0.958 6.809 3.773 0.958 2.812 0.779 5.243" Properties=species:S:1:pos:R:3 pbc="T T T"
Si 9.462 2.623 2.187
Br 3.210 0.890 5.267
Br 13.721 3.803 5.763
Au 2.521 0.699 2.765
```

[2]
## SiAuBr (PBE)

Data for a relaxed structure of SiAuBr.

Summary:
Its energy above the lowest structure with this stoichiometry is 578 meV per atom. Its energy is -3.0326 eV/atom. Its density of states at the Fermi level is 0.094 states/eV per atom. Its uncorrected formation energy is 0.425 eV per atom.

Geometry as extended XYZ:
```
3
Lattice="4.674 0.000 0.000 2.337 4.048 0.000 2.337 1.349 3.816" Properties=species:S:1:pos:R:3 pbc="T T T"
Au 0.000 0.000 0.000
Br 4.674 2.698 1.908
Si 7.011 4.048 2.862
```

[3]
## SiAu2Br (PBE)

Data for a relaxed structure of SiAu2Br.

Summary:
Its energy above the lowest structure with this stoichiometry is 426 meV per atom. Its energy is -2.9817 eV/atom. Its density of states at the Fermi level is 0.315 states/eV per atom. Its uncorrected formation energy is 0.431 eV per atom.

Geometry as extended XYZ:
```
4
Lattice="-2.585 -0.664 -1.767 2.700 -0.496 -3.763 0.593 -5.290 1.122" Properties=species:S:1:pos:R:3 pbc="T T T"
Si 1.646 -2.893 -1.320
Br -0.996 -2.977 -0.322
Au 0.057 -0.580 -2.765
Au 0.000 0.000 0.000
```

[4]
## SiAu2Br (PBE)

Data for a relaxed structure of SiAu2Br.

Summary:
Its energy above the lowest structure with this stoichiometry is 51 meV per atom. Its energy is -3.3565 eV/atom. Its density of states at the Fermi level is 0.293 states/eV per atom. Its uncorrected formation energy is 0.056 eV per atom.

Geometry as extended XYZ:
```
8
Lattice="6.614 0.000 0.000 0.000 6.614 0.000 3.307 3.307 4.627" Properties=species:S:1:pos:R:3 pbc="T T T"
Au 8.267 7.895 3.470
Au 2.026 4.960 1.157
Au 4.960 5.333 3.470
Au 4.588 1.653 1.157
Si 3.307 3.307 0.000
Si 3.307 6.614 2.313
Br 0.000 0.000 0.000
Br 6.614 3.307 2.313
```

[5]
## SiAu2Br (PBE)

Data for a relaxed structure of SiAu2Br.

Summary:
Its energy above the lowest structure with this stoichiometry is 103 meV per atom. Its energy is -3.3053 eV/atom. Its density of states at the Fermi level is 0.443 states/eV per atom. Its uncorrected formation energy is 0.107 eV per atom.

Geometry as extended XYZ:
```
4
Lattice="-2.718 5.198 -3.896 -5.153 4.721 -0.858 -1.846 6.782 -0.415" Properties=species:S:1:pos:R:3 pbc="T T T"
Au -2.532 4.352 -1.347
Au -0.082 0.141 -0.044
Si -7.029 12.081 -3.739
Br -4.933 8.478 -2.624
```

[6]
## Si2AuBr (PBE)

Data for a relaxed structure of Si2AuBr.

Summary:
Its energy above the lowest structure with this stoichiometry is 469 meV per atom. Its energy is -3.4866 eV/atom. Its density of states at the Fermi level is 0.345 states/eV per atom. Its uncorrected formation energy is 0.462 eV per atom.

Geometry as extended XYZ:
```
4
Lattice="-1.446 -0.985 2.911 -0.646 -1.869 -2.761 6.446 -4.641 1.632" Properties=species:S:1:pos:R:3 pbc="T T T"
Br 3.789 -4.907 1.299
Si 3.078 -2.216 0.779
Si 0.145 -0.105 0.037
Au 0.566 -2.587 0.483
```

[7]
## SiAuBr (PBE)

Data for a relaxed structure of SiAuBr.

Summary:
Its energy above the lowest structure with this stoichiometry is 1059 meV per atom. Its energy is -2.5519 eV/atom. Its density of states at the Fermi level is 0.154 states/eV per atom. Its uncorrected formation energy is 0.906 eV per atom.

Geometry as extended XYZ:
```
3
Lattice="4.772 0.000 0.000 2.386 4.132 0.000 2.386 1.377 3.896" Properties=species:S:1:pos:R:3 pbc="T T T"
Au 4.772 2.755 1.948
Br 7.157 4.132 2.922
Si 0.000 0.000 0.000
```

[8]
## SiAuBr2 (PBE)

Data for a relaxed structure of SiAuBr2.

Summary:
Its energy above the lowest structure with this stoichiometry is 494 meV per atom. Its energy is -2.7187 eV/atom. Its density of states at the Fermi level is 0.121 states/eV per atom. Its uncorrected formation energy is 0.293 eV per atom.

Geometry as extended XYZ:
```
4
Lattice="-3.520 -4.527 8.378 -0.022 -4.229 9.230 -2.260 -1.450 9.791" Properties=species:S:1:pos:R:3 pbc="T T T"
Br -0.626 -1.101 2.956
Br -5.176 -9.106 24.444
Si -2.901 -5.103 13.700
Au 0.000 0.000 0.000
```